Entry 1:
Below is a relaxed structure of CeInAgPd, with properties calculated at the PBE-GGA level.

## Properties
Space group   No. 216
Crystal system   cubic
Energy of formation from the pure elements   -0.44 eV/atom

Structure (POSCAR):
```
CeInAgPd
1.0
4.964 0.000 0.000
2.482 4.299 0.000
2.482 1.433 4.053
Pd Ag In Ce
1 1 1 1
Direct
0.500 0.500 0.500 Pd
0.000 0.000 0.000 Ag
0.250 0.250 0.250 In
0.750 0.750 0.750 Ce
```

***

Entry 2:
Below is a relaxed structure of CePm2In2Ag2, with properties calculated at the PBE-GGA level.

## Properties
Space group   No. 166
Crystal system   trigonal
Energy of formation from the pure elements   -0.26 eV/atom

Structure (POSCAR):
```
CePm2In2Ag2
1.0
4.933 0.000 0.000
2.467 4.272 0.000
2.467 1.424 8.960
Pm Ce Ag In
2 1 2 2
Direct
0.126 0.126 0.623 Pm
0.874 0.874 0.377 Pm
0.000 0.000 0.000 Ce
0.602 0.602 0.194 Ag
0.398 0.398 0.806 Ag
0.737 0.737 0.788 In
0.263 0.263 0.212 In
```

***

Entry 3:
Below is a relaxed structure of Ce2PmIn2Ag2, with properties calculated at the PBE-GGA level.

## Properties
Space group   No. 166
Crystal system   trigonal
Energy of formation from the pure elements   -0.25 eV/atom

Structure (POSCAR):
```
Ce2PmIn2Ag2
1.0
4.762 0.000 0.000
2.381 4.124 0.000
2.381 1.375 9.003
In Ag Ce Pm
2 2 2 1
Direct
0.734 0.734 0.797 In
0.266 0.266 0.203 In
0.582 0.582 0.254 Ag
0.418 0.418 0.746 Ag
0.142 0.142 0.574 Ce
0.858 0.858 0.426 Ce
0.000 0.000 0.000 Pm
```

***

Entry 4:
Below is a relaxed structure of CePrInAg, with properties calculated at the PBE-GGA level.

## Properties
Space group   No. 216
Crystal system   cubic
Energy of formation from the pure elements   -0.25 eV/atom

Structure (POSCAR):
```
CePrInAg
1.0
-4.231 3.370 -0.448
-4.846 -1.916 -1.519
-4.064 -0.255 3.589
Ag Pr In Ce
1 1 1 1
Direct
0.250 0.250 0.250 Ag
0.500 0.500 0.500 Pr
0.750 0.750 0.750 In
0.000 0.000 0.000 Ce
```

***

Entry 5:
Below is a relaxed structure of CePr2In2Ag2, with properties calculated at the PBE-GGA level.

## Properties
Space group   No. 166
Crystal system   trigonal
Energy of formation from the pure elements   -0.27 eV/atom

Structure (POSCAR):
```
CePr2In2Ag2
1.0
4.955 0.000 0.000
2.477 4.291 0.000
2.477 1.430 9.036
Ce In Pr Ag
1 2 2 2
Direct
0.000 0.000 0.000 Ce
0.265 0.265 0.206 In
0.735 0.735 0.794 In
0.875 0.875 0.376 Pr
0.125 0.125 0.624 Pr
0.605 0.605 0.185 Ag
0.395 0.395 0.815 Ag
```

***

Entry 6:
Below is a relaxed structure of CeInAgPt, with properties calculated at the PBE-GGA level.

## Properties
Space group   No. 216
Crystal system   cubic
Energy of formation from the pure elements   -0.54 eV/atom

Structure (POSCAR):
```
CeInAgPt
1.0
4.955 0.000 0.000
2.478 4.291 0.000
2.478 1.430 4.046
In Ag Pt Ce
1 1 1 1
Direct
0.500 0.500 0.500 In
0.250 0.250 0.250 Ag
0.750 0.750 0.750 Pt
0.000 0.000 0.000 Ce
```

***

Entry 7:
Below is a relaxed structure of CePuInAg, with properties calculated at the PBE-GGA level.

## Properties
Space group   No. 216
Crystal system   cubic
Energy of formation from the pure elements   -0.07 eV/atom

Structure (POSCAR):
```
CePuInAg
1.0
5.332 0.000 0.000
2.666 4.618 0.000
2.666 1.539 4.354
Ce Ag In Pu
1 1 1 1
Direct
0.500 0.500 0.500 Ce
0.250 0.250 0.250 Ag
0.750 0.750 0.750 In
0.000 0.000 0.000 Pu
```

***

Entry 8:
Below is a relaxed structure of CePuInAg, with properties calculated at the PBE-GGA level.

## Properties
Space group   No. 47
Crystal system   orthorhombic
Energy of formation from the pure elements   -0.16 eV/atom

Structure (POSCAR):
```
CePuInAg
1.0
4.424 0.000 0.000
0.000 4.510 0.000
0.000 0.000 4.884
In Pu Ag Ce
1 1 1 1
Direct
0.500 0.500 0.000 In
0.000 0.500 0.500 Pu
0.000 0.000 0.000 Ag
0.500 0.000 0.500 Ce
```

***

Entry 9:
Below is a relaxed structure of CeInAgRh, with properties calculated at the PBE-GGA level.

## Properties
Space group   No. 216
Crystal system   cubic
Energy of formation from the pure elements   -0.37 eV/atom

Structure (POSCAR):
```
CeInAgRh
1.0
-2.803 -3.742 -1.499
1.198 -4.604 1.213
-2.732 -2.474 3.244
Ag Rh Ce In
1 1 1 1
Direct
0.250 0.250 0.250 Ag
0.750 0.750 0.750 Rh
0.000 0.000 0.000 Ce
0.500 0.500 0.500 In
```

***

Entry 10:
Below is a relaxed structure of Ce2InAgRu, with properties calculated at the PBE-GGA level.

## Properties
Space group   No. 11
Crystal system   monoclinic
Energy of formation from the pure elements   -0.28 eV/atom

Structure (POSCAR):
```
Ce2InAgRu
1.0
-2.341 -1.913 2.414
6.366 -1.535 4.956
-3.371 6.984 2.265
Ru Ce In Ag
2 4 2 2
Direct
0.250 0.884 0.890 Ru
0.750 0.116 0.110 Ru
0.750 0.903 0.659 Ce
0.250 0.097 0.341 Ce
0.750 0.713 0.001 Ce
0.250 0.287 0.999 Ce
0.750 0.316 0.679 In
0.250 0.684 0.321 In
0.750 0.440 0.359 Ag
0.250 0.560 0.641 Ag
```

***

Entry 11:
Below is a relaxed structure of Ce2InAgS5, with properties calculated at the PBE-GGA level.

## Properties
Raw formation energy   -1226.9 meV per atom
Space group   No. 36
Crystal system   orthorhombic

Structure (POSCAR):
```
Ce2InAgS5
1.0
-2.700 -2.802 0.992
4.969 0.696 7.360
-6.971 8.112 3.939
In S Ag Ce
2 10 2 4
Direct
0.414 0.827 0.478 In
0.586 0.173 0.978 In
0.031 0.063 0.077 S
0.700 0.401 0.835 S
0.371 0.743 0.996 S
0.488 0.976 0.283 S
0.305 0.610 0.662 S
0.629 0.257 0.496 S
0.695 0.390 0.162 S
0.300 0.599 0.335 S
0.969 0.937 0.577 S
0.512 0.024 0.783 S
0.229 0.458 0.009 Ag
0.771 0.542 0.509 Ag
0.875 0.750 0.180 Ce
0.125 0.250 0.680 Ce
0.882 0.764 0.804 Ce
0.118 0.236 0.304 Ce
```

***

Entry 12:
Below is a relaxed structure of CeInAgS4, with properties calculated at the PBE-GGA level.

## Properties
Raw formation energy   -944.8 meV per atom
Space group   No. 74
Crystal system   orthorhombic

Structure (POSCAR):
```
CeInAgS4
1.0
7.721 0.000 0.000
3.860 6.876 -0.028
3.860 2.068 6.558
S In Ce Ag
8 2 2 2
Direct
0.750 0.222 0.278 S
0.763 0.753 0.253 S
0.237 0.247 0.747 S
0.232 0.753 0.253 S
0.768 0.247 0.747 S
0.750 0.778 0.722 S
0.250 0.222 0.278 S
0.250 0.778 0.722 S
0.000 0.000 0.500 In
0.500 0.000 0.500 In
0.000 0.000 0.000 Ce
0.000 0.500 0.500 Ce
0.363 0.387 0.887 Ag
0.637 0.613 0.113 Ag
```

***

no.,spin magnetization (μB per formula unit)
1,0.68
2,1.06
3,1.39
4,1.57
5,1.04
6,0.57
7,6.88
8,6.86
9,0.38
10,0.50
11,2.01
12,0.00